(1)
First-principles (PBE-GGA) data for AcLaEu after structural relaxation, as listed in Alexandria via LeMat-Bulk.

a = 3.8866 Å, b = 3.8866 Å, c = 9.4876 Å
α = 90.00°, β = 90.00°, γ = 120.00°
Closest atoms and distances in Å follow each position.
Atoms (fractional coordinates):
1 Eu 0.6667 0.3333 0.3374  3 La 3.86, 6 Eu 3.89, 3 Ac 3.96
2 Ac 0.0000 0.0000 0.9937  3 La 3.81, 6 Ac 3.89, 3 Eu 3.96
3 La 0.3333 0.6667 0.6688  3 Ac 3.81, 3 Eu 3.86, 6 La 3.89

**ΔE to the lowest computed polymorph**: 0.006 eV/atom
**Fermi-level density of states**: 4.1 states/eV/f.u.
**Calculated formation energy**: 0.021 eV/atom
**Symmetry**: P3m1

(2)
First-principles (PBE-GGA) data for Na2RuO2F4 after structural relaxation, as listed in Alexandria via LeMat-Bulk.

a = 4.6835 Å, b = 5.5316 Å, c = 5.5316 Å
α = 64.43°, β = 79.51°, γ = 79.51°
Closest atoms and distances in Å follow each position.
Atoms (fractional coordinates):
1 F 0.6706 0.8547 0.3493  1 Ru 2.00
2 F 0.3294 0.6507 0.1453  1 Ru 2.00
3 F 0.3294 0.1453 0.6507  1 Ru 2.00
4 F 0.6706 0.3493 0.8547  1 Ru 2.00
5 Na 0.7209 0.3109 0.3109  4 F 2.37-2.49, 1 O 2.42
6 Na 0.2791 0.6891 0.6891  4 F 2.37-2.49, 1 O 2.42
7 O 0.1917 0.1423 0.1423  1 Ru 1.74
8 O 0.8083 0.8577 0.8577  1 Ru 1.74
9 Ru 0.5000 0.0000 0.0000  2 O 1.74

**Formation energy (no corrections)**: -16.5 eV/f.u.
**Symmetry**: C2/m

(3)
First-principles (PBE-GGA) data for SrAc2PaP4 after structural relaxation, as listed in Alexandria via LeMat-Bulk.

a = 4.2884 Å, b = 7.4223 Å, c = 7.4207 Å
α = 109.26°, β = 90.00°, γ = 90.00°
Closest atoms and distances in Å follow each position.
Atoms (fractional coordinates):
1 Ac 0.0000 0.5000 0.5000  6 P 3.20-3.26
2 Ac 0.5000 0.0000 0.5000  6 P 3.04
3 P 0.5000 0.7750 0.7765  2 Pa 2.88, 1 Sr 3.03, 3 Ac 3.04-3.20
4 P 0.5000 0.2250 0.2235  2 Pa 2.88, 1 Sr 3.03, 3 Ac 3.04-3.20
5 P 0.0000 0.2305 0.7690  1 Pa 2.79, 2 Ac 3.04, 2 Sr 3.05
6 P 0.0000 0.7695 0.2310  1 Pa 2.79, 2 Ac 3.04, 2 Sr 3.05
7 Pa 0.0000 0.0000 0.0000  6 P 2.79-2.88
8 Sr 0.5000 0.5000 0.0000  6 P 3.03-3.05

**Fermi-level density of states**: 3.5 states/eV/f.u.
**Calculated formation energy**: -1.302 eV/atom
**Symmetry**: P2/m